Entry 1:
This record from Alexandria via LeMat-Bulk describes Mg2InHg after structural relaxation. The functional is PBEsol.

POSCAR file:
```
Mg2InHg
1.0
-3.005 1.112 0.919
-1.944 -1.873 1.956
2.087 3.670 8.428
Mg Hg In
2 1 1
Cartesian
-2.191 2.136 8.388 Mg
-0.671 0.774 2.915 Mg
-1.431 1.455 5.652 Hg
0.000 0.000 0.000 In
```

Summary:
The density of states at the Fermi level is 1.5 states/eV per cell. For the raw total energy, the calculation gives -1.916 eV per atom. The calculation puts the formation energy from the elements at -170 meV per atom.



Entry 2:
This record from Alexandria via LeMat-Bulk describes MgIn2Hg after structural relaxation. The functional is PBEsol.

POSCAR file:
```
MgIn2Hg
1.0
-2.128 -0.085 -2.615
4.190 -0.442 -3.395
-1.698 -4.901 1.541
Mg Hg In
1 1 2
Cartesian
-1.064 -0.043 -1.307 Mg
0.182 -2.714 -2.234 Hg
-0.849 -2.450 0.771 In
2.095 -0.221 -1.698 In
```

Summary:
The density of states at the Fermi level is 1.6 states/eV per cell. For the raw total energy, the calculation gives -2.153 eV per atom. The calculation puts the formation energy from the elements at -91 meV per atom.



Look up the formation energy from the elements of the second one. -91 meV per atom



Repeat the first record exactly.
This record from Alexandria via LeMat-Bulk describes Mg2InHg after structural relaxation. The functional is PBEsol.

POSCAR file:
```
Mg2InHg
1.0
-3.005 1.112 0.919
-1.944 -1.873 1.956
2.087 3.670 8.428
Mg Hg In
2 1 1
Cartesian
-2.191 2.136 8.388 Mg
-0.671 0.774 2.915 Mg
-1.431 1.455 5.652 Hg
0.000 0.000 0.000 In
```

Summary:
The density of states at the Fermi level is 1.5 states/eV per cell. For the raw total energy, the calculation gives -1.916 eV per atom. The calculation puts the formation energy from the elements at -170 meV per atom.



formation energy from the elements of number 2 (MgIn2Hg)? -91 meV per atom